# PBE Sr2Pm2Sn7, optimized geometry
data_Sr2Pm2Sn7
_space_group_name_H-M_alt 'C m m m'
_space_group_IT_number 65
_space_group_name_Hall '-C 2 2'
_cell_length_a 9.636
_cell_length_b 11.202
_cell_length_c 7.059
_cell_angle_alpha 90.00
_cell_angle_beta 90.00
_cell_angle_gamma 90.00
loop_
_atom_site_label
_atom_site_type_symbol
_atom_site_fract_x
_atom_site_fract_y
_atom_site_fract_z
Sr1 Sr 0.179 0.000 0.000
Pm1 Pm 0.000 0.281 0.500
Sn1 Sn 0.000 0.000 0.500
Sn2 Sn 0.000 0.500 0.202
Sn3 Sn 0.250 0.250 0.212
# M_tot   0.00 μB/f.u.
# V   34.64 A^3/atom
# Raw total energy   -42.98 eV/f.u.